Entry from the Open Quantum Materials Database: a relaxed structure of TbZrNb (PBE).

## Properties
total energy	-7.00	eV/atom
energy relative to the lowest polymorph listed for this composition	0.0	meV per atom

abc: 6.813 6.813 6.813
angles: 90.00 90.00 90.00
Space group F-43m (No. 216)
Symmetry-distinct sites (fractional):
Tb 0.000 0.000 0.000 [4 per cell]
Zr 0.000 0.000 0.500 [4 per cell]
Nb 0.250 0.250 0.250 [4 per cell]